DFT (GGA-PBE) results for Na3Tm3SiO8 after structural relaxation.

Structure (POSCAR):
```
Na3Tm3SiO8
1.0
3.236 1.869 5.528
-3.236 1.869 5.528
0.000 -3.737 5.528
Na Tm Si O
3 3 1 8
Cartesian
-1.618 -0.934 5.528
-1.618 0.934 11.056
0.000 1.869 5.528
-3.236 0.000 8.292
-1.618 0.934 2.764
1.618 0.934 2.764
0.000 0.000 8.292
0.000 0.000 3.916
-1.372 -0.792 9.321
0.000 -1.584 7.264
-1.372 0.792 7.264
1.372 -0.792 9.321
0.000 1.584 9.321
1.372 0.792 7.264
0.000 0.000 12.668
```

Computed properties:
Calculated total energy = -6.915 eV/atom
Space-group type = R-3m, No. 166